Record 1
DFT (PBE) results for a relaxed structure of SiAg2Sb.

Computed properties:
ΔE to the lowest computed polymorph in eV per atom: 0.075
Total magnetic moment in μB/atom: 0.000
Formation energy without anion corrections in kJ/mol of formula units: 123

Lattice parameters (Å, degrees): 5.249 5.249 3.134 90.00 90.00 111.41
Positions (direct):
Ag (0.000, 0.000, 0.000)
Ag (0.500, 0.500, 0.000)
Sb (0.500, 0.000, 0.500)
Si (0.000, 0.500, 0.500)

=====

Record 2
DFT (PBE) results for a relaxed structure of MnAsW.

Computed properties:
Energy of formation from the pure elements in eV/f.u.: 0.96
ΔE to the lowest computed polymorph in eV per atom: 0.371
Total magnetic moment in μB/atom: 0.000

Lattice parameters (Å, degrees): 4.468 4.468 4.468 142.14 127.80 66.27
Positions (direct):
As (0.002, 0.002, 0.000)
Mn (0.331, 0.331, 0.000)
W (0.667, 0.667, 0.000)

=====

Question: total magnetic moment of number 2 (MnAsW)?
Answer: 0.000 μB/atom